The following is a PBE calculation of crystalline ZrTa3Rh6 at its relaxed geometry, from Alexandria via LeMat-Bulk.

a = 8.675 Å, b = 4.023 Å, c = 9.146 Å
α = 90.00°, β = 92.39°, γ = 90.00°
Space group P2_1/m (No. 11)
Symmetry-distinct sites (fractional):
Zr (0.059, 0.250, 0.377) (multiplicity 2)
Ta (0.245, 0.250, 0.024) (multiplicity 2)
Ta (0.346, 0.750, 0.799) (multiplicity 2)
Ta (0.441, 0.250, 0.593) (multiplicity 2)
Rh (0.063, 0.750, 0.907) (multiplicity 2)
Rh (0.154, 0.250, 0.708) (multiplicity 2)
Rh (0.157, 0.750, 0.196) (multiplicity 2)
Rh (0.249, 0.750, 0.497) (multiplicity 2)
Rh (0.364, 0.250, 0.300) (multiplicity 2)
Rh (0.460, 0.750, 0.100) (multiplicity 2)

As for the raw total energy: -94.0 eV/f.u. As for the energy of formation: -581 meV per atom. As for the density: 13.0 g cm⁻³. The volume comes out at 15.9 Å³ per atom.